[1]
Material: HfMn2CoTe
Method: DFT, PBE
State: optimized geometry

a b c (Å): 4.866 4.532 4.866
angles (deg): 90.00 90.00 90.00
Site moments in Bohr magnetons follow the coordinates.
Fractional positions:
Mn1 0.500 0.000 0.000  3.45
Te1 0.500 0.500 0.500  0.02
Co1 0.000 0.500 0.000  0.75
Mn2 0.000 0.000 0.500  3.08
Hf1 0.000 0.000 0.000  -0.59

Summary:
E_form (uncorrected) = 1.215 eV/atom
Uncorrected energy = -6.493 eV per atom
N(E_F) = 4.12 states/eV/cell
Crystal system = tetragonal
SG = P4/mmm (123)

[2]
Material: NaSr3Nd2Se6
Method: DFT, PBE
State: optimized geometry

a b c (Å): 7.522 7.522 7.534
angles (deg): 99.57 99.57 119.96
Fractional positions:
Se1 0.420 0.080 0.240
Nd1 0.667 0.333 0.000
Se2 0.920 0.580 0.760
Se3 0.740 0.740 0.238
Sr1 0.164 0.836 0.500
Se4 0.580 0.920 0.760
Na1 0.000 0.000 0.000
Se5 0.080 0.420 0.240
Nd2 0.333 0.667 0.000
Sr2 0.500 0.500 0.500
Sr3 0.836 0.164 0.500
Se6 0.260 0.260 0.762

Summary:
E_form (uncorrected) = -1.881 eV/atom
Uncorrected energy = -4.949 eV per atom
N(E_F) = 3.67 states/eV/cell
Crystal system = monoclinic
SG = C2/m (12)

[3]
Material: HoU3Sb4
Method: DFT, PBE
State: optimized geometry

a b c (Å): 4.296 7.625 7.625
angles (deg): 108.58 90.00 90.00
Site moments in Bohr magnetons follow the coordinates.
Fractional positions:
Sb1 0.500 0.752 0.248  -0.06
Sb2 0.000 0.248 0.248  -0.06
Sb3 0.000 0.752 0.752  -0.06
U1 0.000 0.000 0.500  2.47
U2 0.000 0.500 0.000  2.47
Sb4 0.500 0.248 0.752  -0.06
U3 0.500 0.500 0.500  2.52
Ho1 0.500 0.000 0.000  -0.02

Summary:
E_form (uncorrected) = -0.407 eV/atom
Uncorrected energy = -7.273 eV per atom
N(E_F) = 15.78 states/eV/cell
Crystal system = orthorhombic
SG = Cmmm (65)